(1)
VASP calculation (GGA-PBEsol) on a relaxed structure of AgBSe2.

Cell and atoms, written as CIF:
```
data_AgBSe2
_cell_length_a 5.677
_cell_length_b 6.117
_cell_length_c 5.677
_cell_angle_alpha 117.65
_cell_angle_beta 90.00
_cell_angle_gamma 117.65
_symmetry_space_group_name_H-M 'P 1'
_symmetry_Int_Tables_number 1
_symmetry_space_group_name_Hall 'P 1'
loop_
_atom_site_label
_atom_site_type_symbol
_atom_site_fract_x
_atom_site_fract_y
_atom_site_fract_z
B1 B 0.750 0.500 0.250
B2 B 0.500 0.000 0.500
Ag1 Ag 0.250 0.500 0.750
Ag2 Ag 0.000 0.000 0.000
Se1 Se 0.451 0.250 0.375
Se2 Se 0.799 0.250 0.875
Se3 Se 0.125 0.750 0.549
Se4 Se 0.625 0.750 0.201
```

## Properties
- Uncorrected energy: -4.574 eV per atom
- SG: No. 122

(2)
VASP calculation (GGA-PBEsol) on a relaxed structure of Si3AgB.

Cell and atoms, written as CIF:
```
data_Si3AgB
_cell_length_a 4.134
_cell_length_b 4.134
_cell_length_c 4.134
_cell_angle_alpha 90.00
_cell_angle_beta 90.00
_cell_angle_gamma 90.00
_symmetry_space_group_name_H-M 'P 1'
_symmetry_Int_Tables_number 1
_symmetry_space_group_name_Hall 'P 1'
loop_
_atom_site_label
_atom_site_type_symbol
_atom_site_fract_x
_atom_site_fract_y
_atom_site_fract_z
Si1 Si 0.000 0.500 0.000
Si2 Si 0.000 0.000 0.500
Si3 Si 0.500 0.000 0.000
B1 B 0.000 0.000 0.000
Ag1 Ag 0.500 0.500 0.500
```

## Properties
- Uncorrected energy: -4.878 eV per atom
- SG: No. 221

(3)
VASP calculation (GGA-PBEsol) on a relaxed structure of SrTaAgB2.

Cell and atoms, written as CIF:
```
data_SrTaAgB2
_cell_length_a 4.238
_cell_length_b 4.238
_cell_length_c 5.165
_cell_angle_alpha 90.00
_cell_angle_beta 90.00
_cell_angle_gamma 90.00
_symmetry_space_group_name_H-M 'P 1'
_symmetry_Int_Tables_number 1
_symmetry_space_group_name_Hall 'P 1'
loop_
_atom_site_label
_atom_site_type_symbol
_atom_site_fract_x
_atom_site_fract_y
_atom_site_fract_z
Sr1 Sr 0.000 0.000 0.500
B1 B 0.000 0.500 0.000
B2 B 0.500 0.000 0.000
Ag1 Ag 0.000 0.000 0.000
Ta1 Ta 0.500 0.500 0.500
```

## Properties
- SG: No. 123
- Energy of formation: 2.040 eV per atom

(4)
VASP calculation (GGA-PBEsol) on a relaxed structure of Ta2AgB.

Cell and atoms, written as CIF:
```
data_Ta2AgB
_cell_length_a 5.367
_cell_length_b 5.472
_cell_length_c 5.472
_cell_angle_alpha 76.08
_cell_angle_beta 60.63
_cell_angle_gamma 60.63
_symmetry_space_group_name_H-M 'P 1'
_symmetry_Int_Tables_number 1
_symmetry_space_group_name_Hall 'P 1'
loop_
_atom_site_label
_atom_site_type_symbol
_atom_site_fract_x
_atom_site_fract_y
_atom_site_fract_z
B1 B 0.250 0.500 0.500
B2 B 0.500 0.000 0.000
Ag1 Ag 0.750 0.500 0.500
Ag2 Ag 0.000 0.000 0.000
Ta1 Ta 0.178 0.947 0.447
Ta2 Ta 0.572 0.053 0.553
Ta3 Ta 0.375 0.447 0.053
Ta4 Ta 0.875 0.553 0.947
```

## Properties
- SG: No. 122
- Energy of formation: 0.467 eV per atom

(5)
VASP calculation (GGA-PBEsol) on a relaxed structure of TcAg3B.

Cell and atoms, written as CIF:
```
data_TcAg3B
_cell_length_a 4.255
_cell_length_b 4.255
_cell_length_c 4.255
_cell_angle_alpha 90.00
_cell_angle_beta 90.00
_cell_angle_gamma 90.00
_symmetry_space_group_name_H-M 'P 1'
_symmetry_Int_Tables_number 1
_symmetry_space_group_name_Hall 'P 1'
loop_
_atom_site_label
_atom_site_type_symbol
_atom_site_fract_x
_atom_site_fract_y
_atom_site_fract_z
B1 B 0.000 0.000 0.000
Tc1 Tc 0.500 0.500 0.500
Ag1 Ag 0.000 0.500 0.000
Ag2 Ag 0.000 0.000 0.500
Ag3 Ag 0.500 0.000 0.000
```

## Properties
- SG: No. 221
- Energy of formation: 0.981 eV per atom

(6)
VASP calculation (GGA-PBEsol) on a relaxed structure of Ag2BTe.

Cell and atoms, written as CIF:
```
data_Ag2BTe
_cell_length_a 4.677
_cell_length_b 4.677
_cell_length_c 7.946
_cell_angle_alpha 107.12
_cell_angle_beta 107.12
_cell_angle_gamma 90.00
_symmetry_space_group_name_H-M 'P 1'
_symmetry_Int_Tables_number 1
_symmetry_space_group_name_Hall 'P 1'
loop_
_atom_site_label
_atom_site_type_symbol
_atom_site_fract_x
_atom_site_fract_y
_atom_site_fract_z
B1 B 0.750 0.250 0.500
B2 B 0.500 0.500 0.000
Te1 Te 0.250 0.750 0.500
Te2 Te 0.000 0.000 0.000
Ag1 Ag 0.765 0.375 0.250
Ag2 Ag 0.485 0.875 0.250
Ag3 Ag 0.625 0.515 0.750
Ag4 Ag 0.125 0.235 0.750
```

## Properties
- Uncorrected energy: -3.589 eV per atom
- SG: No. 122

(7)
VASP calculation (GGA-PBEsol) on a relaxed structure of AgB2Te.

Cell and atoms, written as CIF:
```
data_AgB2Te
_cell_length_a 5.214
_cell_length_b 5.214
_cell_length_c 6.150
_cell_angle_alpha 115.08
_cell_angle_beta 115.08
_cell_angle_gamma 90.00
_symmetry_space_group_name_H-M 'P 1'
_symmetry_Int_Tables_number 1
_symmetry_space_group_name_Hall 'P 1'
loop_
_atom_site_label
_atom_site_type_symbol
_atom_site_fract_x
_atom_site_fract_y
_atom_site_fract_z
B1 B 0.390 0.875 0.250
B2 B 0.860 0.375 0.250
B3 B 0.125 0.140 0.750
B4 B 0.625 0.610 0.750
Te1 Te 0.250 0.750 0.500
Te2 Te 0.000 0.000 0.000
Ag1 Ag 0.750 0.250 0.500
Ag2 Ag 0.500 0.500 0.000
```

## Properties
- Uncorrected energy: -4.172 eV per atom
- SG: No. 122

(8)
VASP calculation (GGA-PBEsol) on a relaxed structure of Ti3AgB.

Cell and atoms, written as CIF:
```
data_Ti3AgB
_cell_length_a 4.699
_cell_length_b 4.699
_cell_length_c 4.699
_cell_angle_alpha 90.00
_cell_angle_beta 90.00
_cell_angle_gamma 90.00
_symmetry_space_group_name_H-M 'P 1'
_symmetry_Int_Tables_number 1
_symmetry_space_group_name_Hall 'P 1'
loop_
_atom_site_label
_atom_site_type_symbol
_atom_site_fract_x
_atom_site_fract_y
_atom_site_fract_z
B1 B 0.500 0.500 0.500
Ag1 Ag 0.000 0.000 0.000
Ti1 Ti 0.000 0.500 0.000
Ti2 Ti 0.000 0.000 0.500
Ti3 Ti 0.500 0.000 0.000
```

## Properties
- SG: No. 221
- Energy of formation: 1.809 eV per atom

(9)
VASP calculation (GGA-PBEsol) on a relaxed structure of Tl3AgB.

Cell and atoms, written as CIF:
```
data_Tl3AgB
_cell_length_a 5.321
_cell_length_b 5.321
_cell_length_c 5.321
_cell_angle_alpha 90.00
_cell_angle_beta 90.00
_cell_angle_gamma 90.00
_symmetry_space_group_name_H-M 'P 1'
_symmetry_Int_Tables_number 1
_symmetry_space_group_name_Hall 'P 1'
loop_
_atom_site_label
_atom_site_type_symbol
_atom_site_fract_x
_atom_site_fract_y
_atom_site_fract_z
Tl1 Tl 0.000 0.500 0.000
Tl2 Tl 0.000 0.000 0.500
Tl3 Tl 0.500 0.000 0.000
B1 B 0.500 0.500 0.500
Ag1 Ag 0.000 0.000 0.000
```

## Properties
- SG: No. 221
- Energy of formation: 1.256 eV per atom

(10)
VASP calculation (GGA-PBEsol) on a relaxed structure of AgB3W.

Cell and atoms, written as CIF:
```
data_AgB3W
_cell_length_a 4.149
_cell_length_b 4.149
_cell_length_c 4.149
_cell_angle_alpha 90.00
_cell_angle_beta 90.00
_cell_angle_gamma 90.00
_symmetry_space_group_name_H-M 'P 1'
_symmetry_Int_Tables_number 1
_symmetry_space_group_name_Hall 'P 1'
loop_
_atom_site_label
_atom_site_type_symbol
_atom_site_fract_x
_atom_site_fract_y
_atom_site_fract_z
B1 B 0.000 0.500 0.000
B2 B 0.000 0.000 0.500
B3 B 0.500 0.000 0.000
Ag1 Ag 0.500 0.500 0.500
W1 W 0.000 0.000 0.000
```

## Properties
- SG: No. 221
- Energy of formation: 1.409 eV per atom

(11)
VASP calculation (GGA-PBEsol) on a relaxed structure of AgB3W.

Cell and atoms, written as CIF:
```
data_AgB3W
_cell_length_a 3.976
_cell_length_b 3.976
_cell_length_c 3.976
_cell_angle_alpha 90.00
_cell_angle_beta 90.00
_cell_angle_gamma 90.00
_symmetry_space_group_name_H-M 'P 1'
_symmetry_Int_Tables_number 1
_symmetry_space_group_name_Hall 'P 1'
loop_
_atom_site_label
_atom_site_type_symbol
_atom_site_fract_x
_atom_site_fract_y
_atom_site_fract_z
B1 B 0.000 0.500 0.000
B2 B 0.000 0.000 0.500
B3 B 0.500 0.000 0.000
Ag1 Ag 0.000 0.000 0.000
W1 W 0.500 0.500 0.500
```

## Properties
- SG: No. 221
- Energy of formation: 2.438 eV per atom

(12)
VASP calculation (GGA-PBEsol) on a relaxed structure of YAg3B.

Cell and atoms, written as CIF:
```
data_YAg3B
_cell_length_a 4.416
_cell_length_b 4.416
_cell_length_c 4.416
_cell_angle_alpha 90.00
_cell_angle_beta 90.00
_cell_angle_gamma 90.00
_symmetry_space_group_name_H-M 'P 1'
_symmetry_Int_Tables_number 1
_symmetry_space_group_name_Hall 'P 1'
loop_
_atom_site_label
_atom_site_type_symbol
_atom_site_fract_x
_atom_site_fract_y
_atom_site_fract_z
Y1 Y 0.500 0.500 0.500
B1 B 0.000 0.000 0.000
Ag1 Ag 0.000 0.500 0.000
Ag2 Ag 0.000 0.000 0.500
Ag3 Ag 0.500 0.000 0.000
```

## Properties
- SG: No. 221
- Energy of formation: 0.069 eV per atom